(1)
The following is a PBE calculation of a geometry-optimized CdNiS2Br structure, from the Alexandria database.

Cell lengths 4.2796, 6.0162, 4.2796 Å; angles 90.00, 90.00, 90.00 degrees
Closest atoms and distances in Å follow each position.
Fractional coordinates of all 5 atoms:
Ni 0.0000 0.0000 0.0000  4 S 2.14
S 0.0000 0.0000 0.5000  2 Ni 2.14
S 0.5000 0.0000 0.0000  2 Ni 2.14
Cd 0.0000 0.5000 0.0000  2 Ni 3.01, 4 Br 3.03
Br 0.5000 0.5000 0.5000  4 Cd 3.03

Computed properties:
* formation energy (no corrections): 98 meV/atom
* DFT total energy: -0.1186 Ha/atom
* calculated volume: 110 Å³ per cell
* magnetization: 0.23 μB/atom

(2)
The following is a PBE calculation of a geometry-optimized K2VInI6 structure, from the Alexandria database.

Cell lengths 8.4590, 8.4584, 8.4806 Å; angles 60.08, 60.07, 59.99 degrees
Closest atoms and distances in Å follow each position.
Fractional coordinates of all 10 atoms:
I 0.0086 0.5445 0.2583  1 V 2.79
I 0.1886 0.0086 0.2583  1 V 2.79
I 0.5445 0.1886 0.2583  1 V 2.80
I 0.1125 0.4526 0.7912  1 V 2.82
I 0.6437 0.1125 0.7912  1 V 2.82
I 0.4526 0.6437 0.7912  1 V 2.82
In 0.8169 0.8169 0.5493  6 I 3.33-3.46
K 0.5414 0.5414 0.3757  6 I 3.57-3.67
K 0.0297 0.0297 0.9109  6 I 3.53-3.70
V 0.3231 0.3231 0.0307  6 I 2.79-2.82

Computed properties:
* formation energy (no corrections): -826 meV/atom
* DFT total energy: -0.1162 Ha/atom
* calculated volume: 430 Å³ per cell
* magnetization: 0.20 μB/atom

Question: The lowest calculated volume belongs to which entry?
Answer: CdNiS2Br